LiCo, relaxed, DFT GGA-PBE; E_tot = -6.39 eV/f.u.; energy relative to the elements = 1.3169 eV/atom
1.0
4.044 0.000 0.000
-2.022 3.502 0.000
0.000 0.000 4.647
Li Co
2 2
direct
0.333 0.667 0.250
0.667 0.333 0.750
0.333 0.667 0.750
0.667 0.333 0.250